First-principles (PBE) data for a relaxed CdOsS2O crystal, as listed in Alexandria via LeMat-Bulk.

The structure belongs to space group P4/mmm (No. 123); the cell edges are 4.3701, 4.3701 and 5.6092 Å and the angles 90.00°, 90.00° and 90.00°. The inequivalent atoms are Cd at (0.0000, 0.0000, 0.0000), Os at (0.0000, 0.0000, 0.5000), S at (0.0000, 0.5000, 0.5000) and O at (0.5000, 0.5000, 0.0000).

The calculation puts the raw formation energy at 13.97 kcal/mol of atoms. Its calculated volume is 21.42 Å³ per atom. Its magnetization is 0.00 μB/atom.